Density functional theory data (PBE) for a geometry-optimized Pm3Ga8Co3 structure.

Results
ΔH_f (0 K)	-0.49	eV per atom
magnetization	0.06	μB/atom

```
data_Pm3Ga8Co3
_space_group_name_H-M_alt 'I m m m'
_space_group_IT_number 71
_space_group_name_Hall '-I 2 2'
_cell_length_a 4.2071
_cell_length_b 9.7577
_cell_length_c 12.2554
_cell_angle_alpha 90.00
_cell_angle_beta 90.00
_cell_angle_gamma 90.00
loop_
_atom_site_label
_atom_site_type_symbol
_atom_site_fract_x
_atom_site_fract_y
_atom_site_fract_z
Pm1 Pm 0.0000 0.0000 0.0000
Pm2 Pm 0.0000 0.0000 0.3262
Ga1 Ga 0.0000 0.2889 0.1146
Ga2 Ga 0.0000 0.3623 0.3357
Co1 Co 0.0000 0.2167 0.5000
Co2 Co 0.0000 0.5000 0.0000
```

Density functional theory data (PBE) for a geometry-optimized Pm3Ga4Co4 structure.

Results
ΔH_f (0 K)	-0.45	eV per atom
magnetization	0.00	μB/atom

```
data_Pm3Ga4Co4
_space_group_name_H-M_alt 'I -4 3 m'
_space_group_IT_number 217
_space_group_name_Hall 'I -4 2 3'
_cell_length_a 7.3730
_cell_length_b 7.3730
_cell_length_c 7.3730
_cell_angle_alpha 90.00
_cell_angle_beta 90.00
_cell_angle_gamma 90.00
loop_
_atom_site_label
_atom_site_type_symbol
_atom_site_fract_x
_atom_site_fract_y
_atom_site_fract_z
Pm1 Pm 0.0000 0.0000 0.5000
Ga1 Ga 0.1994 0.1994 0.1994
Co1 Co 0.1176 0.1176 0.8824
```

Density functional theory data (PBE) for a geometry-optimized PmGa8Co4 structure.

Results
ΔH_f (0 K)	-0.34	eV per atom
magnetization	0.00	μB/atom

```
data_PmGa8Co4
_space_group_name_H-M_alt 'I 4/m m m'
_space_group_IT_number 139
_space_group_name_Hall '-I 4 2'
_cell_length_a 8.5733
_cell_length_b 8.5733
_cell_length_c 5.1809
_cell_angle_alpha 90.00
_cell_angle_beta 90.00
_cell_angle_gamma 90.00
loop_
_atom_site_label
_atom_site_type_symbol
_atom_site_fract_x
_atom_site_fract_y
_atom_site_fract_z
Pm1 Pm 0.0000 0.0000 0.0000
Ga1 Ga 0.0000 0.2251 0.5000
Ga2 Ga 0.0000 0.3414 0.0000
Co1 Co 0.2500 0.2500 0.2500
```

In order of appearance, total DFT energy (no corrections) = -4.755 -5.428 -4.758 eV per atom.
In order of appearance, calculated volume = 17.97 18.22 14.65 Å³/atom.